# 1
Compound: LiNiSnB
Source: OQMD via LeMat-Bulk
Functional: PBE
Structure: optimized geometry

Properties
total moment: 0.0 μB/f.u.
excess energy over the best structure of this formula in the dataset: 0 meV per atom
space group: No. 216

Cell lengths 5.8530, 5.8530, 5.8530 Å; angles 90.00, 90.00, 90.00 degrees
Fractional coordinates of all 16 atoms:
Li 0.0000 0.0000 0.0000
Li 0.0000 0.5000 0.5000
Li 0.5000 0.0000 0.5000
Li 0.5000 0.5000 0.0000
Ni 0.0000 0.0000 0.5000
Ni 0.0000 0.5000 0.0000
Ni 0.5000 0.0000 0.0000
Ni 0.5000 0.5000 0.5000
Sn 0.2500 0.2500 0.7500
Sn 0.2500 0.7500 0.2500
Sn 0.7500 0.2500 0.2500
Sn 0.7500 0.7500 0.7500
B 0.2500 0.2500 0.2500
B 0.2500 0.7500 0.7500
B 0.7500 0.2500 0.7500
B 0.7500 0.7500 0.2500

# 2
Compound: TbHf3C2Se2
Source: OQMD via LeMat-Bulk
Functional: PBE
Structure: optimized geometry

Properties
electronic total energy: -8.641 eV/atom
total moment: 0.0 μB/f.u.
space group: No. 156

Cell lengths 3.4942, 3.4942, 12.7993 Å; angles 90.00, 90.00, 120.00 degrees
Fractional coordinates of all 8 atoms:
Tb 0.0000 0.0000 0.0000
Hf 0.0000 0.0000 0.3136
Hf 0.3333 0.6667 0.4973
Hf 0.3333 0.6667 0.7994
C 0.6667 0.3333 0.4062
C 0.6667 0.3333 0.8837
Se 0.0000 0.0000 0.6471
Se 0.3333 0.6667 0.1681

# 3
Compound: YBeCoSn
Source: OQMD via LeMat-Bulk
Functional: PBE
Structure: optimized geometry

Properties
total moment: 0.0 μB/f.u.
excess energy over the best structure of this formula in the dataset: 0 meV per atom
space group: No. 216

Cell lengths 6.4084, 6.4084, 6.4084 Å; angles 90.00, 90.00, 90.00 degrees
Fractional coordinates of all 16 atoms:
Y 0.0000 0.0000 0.0000
Y 0.0000 0.5000 0.5000
Y 0.5000 0.0000 0.5000
Y 0.5000 0.5000 0.0000
Be 0.2500 0.2500 0.2500
Be 0.2500 0.7500 0.7500
Be 0.7500 0.2500 0.7500
Be 0.7500 0.7500 0.2500
Co 0.2500 0.2500 0.7500
Co 0.2500 0.7500 0.2500
Co 0.7500 0.2500 0.2500
Co 0.7500 0.7500 0.7500
Sn 0.0000 0.0000 0.5000
Sn 0.0000 0.5000 0.0000
Sn 0.5000 0.0000 0.0000
Sn 0.5000 0.5000 0.5000

# 4
Compound: LaGdIn2Ir4
Source: OQMD via LeMat-Bulk
Functional: PBE
Structure: optimized geometry

Properties
electronic total energy: -6.684 eV/atom
total moment: 0.0 μB/f.u.
space group: No. 187

Cell lengths 4.5966, 4.5966, 9.1021 Å; angles 90.00, 90.00, 120.00 degrees
Fractional coordinates of all 8 atoms:
La 0.0000 0.0000 0.0000
Gd 0.6667 0.3333 0.5000
In 0.3333 0.6667 0.2577
In 0.3333 0.6667 0.7423
Ir 0.0000 0.0000 0.3554
Ir 0.0000 0.0000 0.6446
Ir 0.6667 0.3333 0.1693
Ir 0.6667 0.3333 0.8307

# 5
Compound: B3W
Source: OQMD via LeMat-Bulk
Functional: PBE
Structure: optimized geometry

Properties
total moment: 0.0 μB/f.u.
excess energy over the best structure of this formula in the dataset: 0 meV per atom
space group: No. 166

Cell lengths 4.3477, 4.3477, 4.3477 Å; angles 73.64, 73.64, 73.64 degrees
Fractional coordinates of all 8 atoms:
B 0.0000 0.3351 0.6649
B 0.0000 0.6649 0.3351
B 0.3351 0.0000 0.6649
B 0.3351 0.6649 0.0000
B 0.6649 0.0000 0.3351
B 0.6649 0.3351 0.0000
W 0.1663 0.1663 0.1663
W 0.8337 0.8337 0.8337

# 6
Compound: SrCd3Pd4O12
Source: OQMD via LeMat-Bulk
Functional: PBE
Structure: optimized geometry

Properties
electronic total energy: -4.972 eV/atom
space group: No. 204

Cell lengths 6.7435, 6.7435, 6.7435 Å; angles 109.47, 109.47, 109.47 degrees
Fractional coordinates of all 20 atoms:
Sr 0.0000 0.0000 0.0000
Cd 0.0000 0.5000 0.5000
Cd 0.5000 0.0000 0.5000
Cd 0.5000 0.5000 0.0000
Pd 0.0000 0.0000 0.5000
Pd 0.0000 0.5000 0.0000
Pd 0.5000 0.0000 0.0000
Pd 0.5000 0.5000 0.5000
O 0.1030 0.8095 0.2935
O 0.1905 0.2935 0.4840
O 0.1905 0.7065 0.8970
O 0.2935 0.1030 0.8095
O 0.2935 0.4840 0.1905
O 0.4840 0.1905 0.2935
O 0.5160 0.8095 0.7065
O 0.7065 0.5160 0.8095
O 0.7065 0.8970 0.1905
O 0.8095 0.2935 0.1030
O 0.8095 0.7065 0.5160
O 0.8970 0.1905 0.7065

# 7
Compound: YTm2N3
Source: OQMD via LeMat-Bulk
Functional: PBE
Structure: optimized geometry

Properties
electronic total energy: -8.510 eV/atom
total moment: 0.0 μB/f.u.
space group: No. 164

Cell lengths 3.4126, 3.4126, 8.3583 Å; angles 90.00, 90.00, 120.00 degrees
Fractional coordinates of all 6 atoms:
Y 0.0000 0.0000 0.0000
Tm 0.3333 0.6667 0.3351
Tm 0.6667 0.3333 0.6649
N 0.0000 0.0000 0.5000
N 0.3333 0.6667 0.8289
N 0.6667 0.3333 0.1711

# 8
Compound: Ba2TlInPd4
Source: OQMD via LeMat-Bulk
Functional: PBE
Structure: optimized geometry

Properties
electronic total energy: -4.254 eV/atom
space group: No. 164

Cell lengths 4.7277, 4.7277, 10.9643 Å; angles 90.00, 90.00, 120.00 degrees
Fractional coordinates of all 8 atoms:
Ba 0.3333 0.6667 0.2496
Ba 0.6667 0.3333 0.7504
Tl 0.0000 0.0000 0.5000
In 0.0000 0.0000 0.0000
Pd 0.3333 0.6667 0.5451
Pd 0.3333 0.6667 0.9558
Pd 0.6667 0.3333 0.0442
Pd 0.6667 0.3333 0.4549